Na2MgHg2: optimized geometry, PBEsol.

a = 7.5401 Å, b = 7.5401 Å, c = 4.4952 Å
α = 90.00°, β = 90.00°, γ = 90.00°
Space group P4/mbm (No. 127)
Asymmetric unit:
Na (0.1652, 0.3348, 0.0000) [4 per cell]
Mg (0.0000, 0.0000, 0.5000) [2 per cell]
Hg (0.1387, 0.6387, 0.5000) [4 per cell]

Output
crystal system = tetragonal
ΔE_f = -184 meV per atom

Ta2CuSbP: optimized geometry, PBEsol.

a = 5.0328 Å, b = 5.0328 Å, c = 4.8754 Å
α = 90.00°, β = 90.00°, γ = 90.00°
Space group P4/mmm (No. 123)
Asymmetric unit:
Ta (0.0000, 0.5000, 0.0000) [2 per cell]
Cu (0.0000, 0.0000, 0.5000) [1 per cell]
Sb (0.5000, 0.5000, 0.0000) [1 per cell]
P (0.5000, 0.5000, 0.5000) [1 per cell]

Output
crystal system = tetragonal
E_form (uncorrected) = 2174 meV/atom

SbOF3: optimized geometry, PBEsol.

a = 6.2195 Å, b = 7.8090 Å, c = 8.2147 Å
α = 73.25°, β = 68.13°, γ = 72.76°
Space group P-1 (No. 2)
Asymmetric unit:
Sb (0.0220, 0.1736, 0.0716) [2 per cell]
Sb (0.3136, 0.4651, 0.7098) [2 per cell]
O (0.1577, 0.2617, 0.8179) [2 per cell]
O (0.2114, 0.6019, 0.8963) [2 per cell]
F (0.0824, 0.6078, 0.6011) [2 per cell]
F (0.1130, 0.9584, 0.6997) [2 per cell]
F (0.1952, 0.9184, 0.0077) [2 per cell]
F (0.2815, 0.1853, 0.1303) [2 per cell]
F (0.4036, 0.6559, 0.2374) [2 per cell]
F (0.4737, 0.3587, 0.4803) [2 per cell]

Output
crystal system = triclinic
distance to the lowest polymorph of the same formula = 0 meV/atom
E_form (uncorrected) = -1968 meV/atom

NiMo2Rh: optimized geometry, PBEsol.

a = 5.2751 Å, b = 7.7012 Å, c = 2.6684 Å
α = 90.00°, β = 90.00°, γ = 90.00°
Space group Cmmm (No. 65)
Asymmetric unit:
Ni (0.0000, 0.0000, 0.0000) [2 per cell]
Mo (0.2500, 0.2500, 0.5000) [4 per cell]
Rh (0.0000, 0.5000, 0.0000) [2 per cell]

Output
crystal system = orthorhombic
distance to the lowest polymorph of the same formula = 37 meV/atom
ΔE_f = -79 meV per atom

In order of appearance, VASP energy = -1.31 -5.78 -5.09 -9.54 eV/atom.